# Ac2PuGa3Pt4

A geometry-optimized Ac2PuGa3Pt4 structure (PBE, the Alexandria database).

a b c (Å): 4.4877 4.4877 11.0222
angles (deg): 90.00 90.00 90.00
Element x y z (fractional)
Ac  0.0000  0.5000  0.2324
Ac  0.5000  0.0000  0.7676
Pu  0.0000  0.0000  0.5000
Ga  0.0000  0.5000  0.8852
Ga  0.5000  0.0000  0.1148
Ga  0.5000  0.5000  0.5000
Pt  0.0000  0.0000  0.0000
Pt  0.0000  0.5000  0.6541
Pt  0.5000  0.0000  0.3459
Pt  0.5000  0.5000  0.0000

Properties
Space-group type: No. 115
Magnetization: 5.27 Bohr magnetons per cell
Final energy: -64.92 eV per cell
DOS(E_F): 10.566 states/eV/cell